Entry 1:
The following is a DFT calculation (PBE) of a geometry-optimized LiMgSe structure.

Geometry as CIF:
```
data_LiMgSe
_chemical_formula_sum 'Li1 Mg1 Se1'
_space_group_name_H-M_alt 'P 3 m 1'
_space_group_IT_number 156
_cell_length_a 3.9479
_cell_length_b 3.9479
_cell_length_c 5.2077
_cell_angle_alpha 90.00
_cell_angle_beta 90.00
_cell_angle_gamma 120.00
loop_
_space_group_symop_operation_xyz
'x,y,z'
'-y,x-y,z'
'-x+y,-x,z'
'-y,-x,z'
'-x+y,y,z'
'x,x-y,z'
loop_
_atom_site_label
_atom_site_fract_x
_atom_site_fract_y
_atom_site_fract_z
Li1 0.0000 0.0000 0.0000
Mg1 0.3333 0.6667 0.5061
Se1 0.6667 0.3333 0.7696
```

The calculation puts the offset from the most stable computed form at 0.129 eV/atom. Its density of states at the Fermi level is 1.33 states/eV/f.u. The raw total energy is -3.0312 eV per atom. The calculation puts the formation energy without anion corrections at -0.7002 eV per atom.

---

Entry 2:
The following is a DFT calculation (PBE) of a geometry-optimized Pm8Si3Te2 structure.

Geometry as CIF:
```
data_Pm8Si3Te2
_chemical_formula_sum 'Pm16 Si6 Te4'
_space_group_name_H-M_alt 'C 1 2/m 1'
_space_group_IT_number 12
_cell_length_a 15.592
_cell_length_b 8.247
_cell_length_c 7.292
_cell_angle_alpha 90.00
_cell_angle_beta 107.57
_cell_angle_gamma 90.00
loop_
_space_group_symop_operation_xyz
'x,y,z'
'-x,-y,-z'
'-x,y,-z'
'x,-y,z'
'x+1/2,y+1/2,z'
'-x+1/2,-y+1/2,-z'
'-x+1/2,y+1/2,-z'
'x+1/2,-y+1/2,z'
loop_
_atom_site_label
_atom_site_fract_x
_atom_site_fract_y
_atom_site_fract_z
Pm1 0.097 0.000 0.371
Pm2 0.105 0.250 0.897
Pm3 0.108 0.500 0.406
Si1 0.000 0.247 0.500
Si2 0.000 0.500 0.000
Te1 0.250 0.000 0.160
```

Its density of states at the Fermi level is 11.93 states/eV/f.u. The raw total energy is -5.2983 eV per atom. The calculation puts the formation energy without anion corrections at -0.6401 eV per atom.

---

Entry 3:
The following is a DFT calculation (PBE) of a geometry-optimized Fe2RuI structure.

Geometry as CIF:
```
data_Fe2RuI
_chemical_formula_sum 'Fe8 Ru4 I4'
_space_group_name_H-M_alt 'F m -3 m'
_space_group_IT_number 225
_space_group_name_Hall '-F 4 2 3'
_cell_length_a 6.187
_cell_length_b 6.187
_cell_length_c 6.187
_cell_angle_alpha 90.00
_cell_angle_beta 90.00
_cell_angle_gamma 90.00
loop_
_atom_site_label
_atom_site_fract_x
_atom_site_fract_y
_atom_site_fract_z
Fe1 0.250 0.250 0.250
Ru1 0.000 0.000 0.000
I1 0.000 0.000 0.500
```

Its density of states at the Fermi level is 4.09 states/eV/f.u. The raw total energy is -6.0210 eV per atom. The calculation puts the formation energy without anion corrections at 0.9168 eV per atom.

---

Entry 4:
The following is a DFT calculation (PBE) of a geometry-optimized CrPtW2 structure.

Geometry as CIF:
```
data_CrPtW2
_chemical_formula_sum 'Cr1 Pt1 W2'
_space_group_name_H-M_alt 'P 4/m m m'
_space_group_IT_number 123
_space_group_name_Hall '-P 4 2'
_cell_length_a 3.247
_cell_length_b 3.247
_cell_length_c 5.711
_cell_angle_alpha 90.00
_cell_angle_beta 90.00
_cell_angle_gamma 90.00
loop_
_atom_site_label
_atom_site_fract_x
_atom_site_fract_y
_atom_site_fract_z
Cr1 0.000 0.000 0.000
Pt1 0.000 0.000 0.500
W1 0.500 0.500 0.231
```

The calculation puts the offset from the most stable computed form at 0.138 eV/atom. Its density of states at the Fermi level is 3.47 states/eV/f.u. The value obtained for the formation energy is 0.56 eV/f.u. The raw total energy is -10.2525 eV per atom.

---

Entry 5:
The following is a DFT calculation (PBE) of a geometry-optimized Al2SiHg structure.

Geometry as CIF:
```
data_Al2SiHg
_chemical_formula_sum 'Al2 Si1 Hg1'
_space_group_name_H-M_alt 'P 4/m m m'
_space_group_IT_number 123
_space_group_name_Hall '-P 4 2'
_cell_length_a 2.963
_cell_length_b 2.963
_cell_length_c 8.251
_cell_angle_alpha 90.00
_cell_angle_beta 90.00
_cell_angle_gamma 90.00
loop_
_atom_site_label
_atom_site_fract_x
_atom_site_fract_y
_atom_site_fract_z
Al1 0.000 0.000 0.218
Si1 0.500 0.500 0.000
Hg1 0.500 0.500 0.500
```

The calculation puts the offset from the most stable computed form at 0.047 eV/atom. Its density of states at the Fermi level is 1.76 states/eV/f.u. The raw total energy is -3.0817 eV per atom. The calculation puts the formation energy without anion corrections at 0.2208 eV per atom.

---

Entry 6:
The following is a DFT calculation (PBE) of a geometry-optimized Ca2BeSe structure.

Geometry as CIF:
```
data_Ca2BeSe
_chemical_formula_sum 'Ca4 Be2 Se2'
_space_group_name_H-M_alt 'I 4/m m m'
_space_group_IT_number 139
_space_group_name_Hall '-I 4 2'
_cell_length_a 4.676
_cell_length_b 4.676
_cell_length_c 8.489
_cell_angle_alpha 90.00
_cell_angle_beta 90.00
_cell_angle_gamma 90.00
loop_
_atom_site_label
_atom_site_fract_x
_atom_site_fract_y
_atom_site_fract_z
Ca1 0.000 0.500 0.250
Be1 0.000 0.000 0.000
Se1 0.000 0.000 0.500
```

The calculation puts the offset from the most stable computed form at 0.224 eV/atom. Its density of states at the Fermi level is 1.68 states/eV/f.u. The raw total energy is -3.1724 eV per atom. The calculation puts the formation energy without anion corrections at -0.3689 eV per atom.

---

Entry 7:
The following is a DFT calculation (PBE) of a geometry-optimized AcTbLuSn structure.

Geometry as CIF:
```
data_AcTbLuSn
_chemical_formula_sum 'Ac4 Tb4 Lu4 Sn4'
_space_group_name_H-M_alt 'F -4 3 m'
_space_group_IT_number 216
_space_group_name_Hall 'F -4 2 3'
_cell_length_a 7.813
_cell_length_b 7.813
_cell_length_c 7.813
_cell_angle_alpha 90.00
_cell_angle_beta 90.00
_cell_angle_gamma 90.00
loop_
_atom_site_label
_atom_site_fract_x
_atom_site_fract_y
_atom_site_fract_z
Ac1 0.000 0.000 0.000
Tb1 0.250 0.250 0.750
Lu1 0.250 0.250 0.250
Sn1 0.000 0.000 0.500
```

Its density of states at the Fermi level is 6.50 states/eV/f.u. The value obtained for the formation energy is -0.51 eV/f.u. The raw total energy is -4.4432 eV per atom.

---

Entry 8:
The following is a DFT calculation (PBE) of a geometry-optimized InPAu2 structure.

Geometry as CIF:
```
data_InPAu2
_chemical_formula_sum 'In2 P2 Au4'
_space_group_name_H-M_alt 'I -4 m 2'
_space_group_IT_number 119
_space_group_name_Hall 'I -4 -2'
_cell_length_a 4.227
_cell_length_b 4.227
_cell_length_c 8.435
_cell_angle_alpha 90.00
_cell_angle_beta 90.00
_cell_angle_gamma 90.00
loop_
_atom_site_label
_atom_site_fract_x
_atom_site_fract_y
_atom_site_fract_z
In1 0.000 0.000 0.000
P1 0.000 0.500 0.750
Au1 0.000 0.000 0.500
Au2 0.000 0.500 0.250
```

The calculation puts the offset from the most stable computed form at 0.252 eV/atom. Its density of states at the Fermi level is 1.59 states/eV/f.u. The value obtained for the formation energy is 0.83 eV/f.u. The raw total energy is -3.4686 eV per atom.